Below is a relaxed Pb2AuBr2 crystal, with properties calculated at the GGA-PBE level.

Energy relative to the elements, uncorrected (meV per atom): -348.1

Cell: 7.912 7.912 4.940 Å, 90.00 90.00 90.00°
Space group P4/mbm (No. 127)
Unique sites:
Pb  0.179  0.321  0.000 [4 per cell]
Au  0.000  0.000  0.000 [2 per cell]
Br  0.165  0.665  0.500 [4 per cell]


Below is a relaxed Sc2ZnIr crystal, with properties calculated at the GGA-PBE level.

ΔE to the lowest computed polymorph (meV/atom): 180
Energy relative to the elements (eV per atom): -0.541

Cell: 10.228 3.127 4.722 Å, 90.00 106.96 90.00°
Space group Cm (No. 8)
Unique sites:
Sc  0.000  0.000  0.000 [2 per cell]
Sc  0.213  0.000  0.660 [2 per cell]
Zn  0.449  0.000  0.465 [2 per cell]
Ir  0.235  0.500  0.173 [2 per cell]


Below is a relaxed DyGe2PdRh2 crystal, with properties calculated at the GGA-PBE level.

Energy relative to the elements (eV per atom): -0.175

Cell: 4.611 4.611 5.505 Å, 90.00 90.00 90.00°
Space group P4/mmm (No. 123)
Unique sites:
Dy  0.000  0.000  0.000 [1 per cell]
Ge  0.000  0.500  0.500 [2 per cell]
Pd  0.000  0.000  0.500 [1 per cell]
Rh  0.500  0.500  0.243 [2 per cell]


Below is a relaxed Pm2Tl2Au crystal, with properties calculated at the GGA-PBE level.

Energy relative to the elements (eV per atom): -0.452

Cell: 11.475 4.632 11.575 Å, 90.00 116.00 90.00°
Space group C2/m (No. 12)
Unique sites:
Pm  0.003  0.000  0.326 [4 per cell]
Pm  0.181  0.000  0.121 [4 per cell]
Tl  0.048  0.500  0.894 [4 per cell]
Tl  0.149  0.500  0.549 [4 per cell]
Au  0.214  0.500  0.316 [4 per cell]


Below is a relaxed TmMg2Zn crystal, with properties calculated at the GGA-PBE level.

Energy relative to the elements (eV per atom): 0.190

Cell: 3.1614 3.1614 32.8032 Å, 90.00 90.00 120.00°
Space group R-3m (No. 166, hexagonal axes)
Unique sites:
Tm  0.0000  0.0000  0.0000 [3 per cell]
Mg  0.0000  0.0000  0.0973 [6 per cell]
Zn  0.0000  0.0000  0.5000 [3 per cell]


Below is a relaxed RbInBi crystal, with properties calculated at the GGA-PBE level.

Energy relative to the elements (eV per atom): -0.210

Cell: 13.252 5.141 7.601 Å, 90.00 101.07 90.00°
Space group C2/m (No. 12)
Unique sites:
Rb  0.109  0.000  0.315 [4 per cell]
In  0.215  0.000  0.823 [4 per cell]
Bi  0.088  0.500  0.867 [4 per cell]


Below is a relaxed KRbHgCl4 crystal, with properties calculated at the GGA-PBE level.

Energy relative to the elements, uncorrected (meV per atom): -1387.6

Cell: 7.600 7.419 9.083 Å, 90.00 107.58 90.00°
Space group P2_1/m (No. 11)
Unique sites:
K  0.212  0.250  0.056 [2 per cell]
Rb  0.249  0.250  0.557 [2 per cell]
Hg  0.250  0.750  0.817 [2 per cell]
Cl  0.009  0.003  0.758 [4 per cell]
Cl  0.440  0.750  0.634 [2 per cell]
Cl  0.453  0.750  0.092 [2 per cell]


Below is a relaxed ScAg2Cl crystal, with properties calculated at the GGA-PBE level.

ΔE to the lowest computed polymorph (meV/atom): 261
Energy relative to the elements, uncorrected (meV per atom): -299.5

Cell: 5.238 9.465 3.423 Å, 90.00 90.00 90.00°
Space group Cmmm (No. 65)
Unique sites:
Sc  0.000  0.000  0.000 [2 per cell]
Ag  0.250  0.250  0.500 [4 per cell]
Cl  0.000  0.500  0.000 [2 per cell]


Below is a relaxed OsSO2 crystal, with properties calculated at the GGA-PBE level.

Energy relative to the elements, uncorrected (meV per atom): 183.1

Cell: 2.8150 2.8150 29.2635 Å, 90.00 90.00 120.00°
Space group R-3m (No. 166, hexagonal axes)
Unique sites:
Os  0.0000  0.0000  0.0000 [3 per cell]
S  0.0000  0.0000  0.5000 [3 per cell]
O  0.0000  0.0000  0.0596 [6 per cell]


Below is a relaxed LaBe2Cr crystal, with properties calculated at the GGA-PBE level.

ΔE to the lowest computed polymorph (meV/atom): 0
Energy relative to the elements (eV per atom): 0.199

Cell: 6.769 3.911 5.744 Å, 90.00 113.29 90.00°
Space group Cm (No. 8)
Unique sites:
La  0.000  0.000  0.000 [2 per cell]
Be  0.008  0.500  0.528 [2 per cell]
Be  0.189  0.000  0.571 [2 per cell]
Cr  0.304  0.500  0.417 [2 per cell]


Below is a relaxed PmPaTl crystal, with properties calculated at the GGA-PBE level.

ΔE to the lowest computed polymorph (meV/atom): 69
Energy relative to the elements (eV per atom): 0.258

Cell: 5.4868 5.4868 3.2746 Å, 90.00 90.00 120.00°
Space group P3m1 (No. 156)
Unique sites:
Pm  0.0000  0.0000  0.0000 [1 per cell]
Pa  0.3333  0.6667  0.4341 [1 per cell]
Tl  0.6667  0.3333  0.7090 [1 per cell]


Below is a relaxed Ca crystal, with properties calculated at the GGA-PBE level.

ΔE to the lowest computed polymorph (meV/atom): 1047
Energy relative to the elements (eV per atom): 1.047

Cell: 8.572 8.572 8.572 Å, 90.00 90.00 90.00°
Space group Fd-3m (No. 227, origin choice 2)
Unique sites:
Ca  0.125  0.125  0.125 [8 per cell]


Below is a relaxed Ca2SmAgS4 crystal, with properties calculated at the GGA-PBE level.

Energy relative to the elements, uncorrected (meV per atom): -1681.3

Cell: 6.902 4.052 6.980 Å, 90.00 109.68 90.00°
Space group P2/m (No. 10)
Unique sites:
Ca  0.000  0.000  0.000 [1 per cell]
Ca  0.500  0.500  0.000 [1 per cell]
Sm  0.000  0.500  0.500 [1 per cell]
Ag  0.500  0.000  0.500 [1 per cell]
S  0.243  0.000  0.750 [2 per cell]
S  0.246  0.500  0.251 [2 per cell]


Below is a relaxed LiCd6Ga2 crystal, with properties calculated at the GGA-PBE level.

Energy relative to the elements (eV per atom): -0.020

Cell: 12.072 9.267 8.500 Å, 90.00 123.69 90.00°
Space group C2/c (No. 15)
Unique sites:
Li  0.000  0.139  0.250 [4 per cell]
Cd  0.068  0.130  0.643 [8 per cell]
Cd  0.167  0.365  0.517 [8 per cell]
Cd  0.229  0.111  0.075 [8 per cell]
Ga  0.120  0.368  0.145 [8 per cell]


Below is a relaxed NaAg3Se2 crystal, with properties calculated at the GGA-PBE level.

Energy relative to the elements, uncorrected (meV per atom): -339.7

Cell: 16.746 4.303 9.172 Å, 90.00 123.11 90.00°
Space group C2/m (No. 12)
Unique sites:
Na  0.133  0.000  0.186 [4 per cell]
Ag  0.044  0.000  0.697 [4 per cell]
Ag  0.103  0.500  0.542 [4 per cell]
Ag  0.179  0.500  0.926 [4 per cell]
Se  0.012  0.500  0.201 [4 per cell]
Se  0.217  0.000  0.727 [4 per cell]


Below is a relaxed MoPtSe2 crystal, with properties calculated at the GGA-PBE level.

ΔE to the lowest computed polymorph (meV/atom): 25
Energy relative to the elements, uncorrected (meV per atom): -110.6

Cell: 13.352 3.009 4.788 Å, 90.00 94.10 90.00°
Space group C2/m (No. 12)
Unique sites:
Mo  0.000  0.000  0.000 [2 per cell]
Pt  0.000  0.500  0.500 [2 per cell]
Se  0.142  0.500  0.197 [4 per cell]


Below is a relaxed Cs2USn2S6 crystal, with properties calculated at the GGA-PBE level.

Energy relative to the elements, uncorrected (meV per atom): -913.6

Cell: 12.447 7.485 8.509 Å, 90.00 113.47 90.00°
Space group C2/m (No. 12)
Unique sites:
Cs  0.201  0.000  0.150 [4 per cell]
U  0.000  0.000  0.500 [2 per cell]
Sn  0.073  0.500  0.205 [4 per cell]
S  0.038  0.239  0.741 [8 per cell]
S  0.215  0.000  0.561 [4 per cell]


Below is a relaxed Cs4Rb3SnCl8 crystal, with properties calculated at the GGA-PBE level.

Energy relative to the elements, uncorrected (meV per atom): -1711.5

Cell: 17.208 9.452 9.547 Å, 90.00 122.19 90.00°
Space group C2/m (No. 12)
Unique sites:
Cs  0.000  0.000  0.000 [2 per cell]
Cs  0.000  0.500  0.000 [2 per cell]
Cs  0.250  0.250  0.500 [4 per cell]
Rb  0.000  0.000  0.500 [2 per cell]
Rb  0.250  0.250  0.000 [4 per cell]
Sn  0.000  0.500  0.500 [2 per cell]
Cl  0.006  0.271  0.725 [8 per cell]
Cl  0.223  0.000  0.211 [4 per cell]
Cl  0.246  0.000  0.756 [4 per cell]


Below is a relaxed U2GeSe6 crystal, with properties calculated at the GGA-PBE level.

Energy relative to the elements, uncorrected (meV per atom): -768.7

Cell: 6.723 6.955 11.113 Å, 90.00 117.23 90.00°
Space group P2_1/c (No. 14)
Unique sites:
U  0.162  0.115  0.215 [4 per cell]
Ge  0.500  0.000  0.000 [2 per cell]
Se  0.118  0.190  0.941 [4 per cell]
Se  0.228  0.673  0.908 [4 per cell]
Se  0.448  0.080  0.751 [4 per cell]


Below is a relaxed YThRh2 crystal, with properties calculated at the GGA-PBE level.

ΔE to the lowest computed polymorph (meV/atom): 110
Energy relative to the elements (eV per atom): -0.794

Cell: 7.024 7.024 7.024 Å, 90.00 90.00 90.00°
Space group Fm-3m (No. 225)
Unique sites:
Y  0.000  0.000  0.000 [4 per cell]
Th  0.000  0.000  0.500 [4 per cell]
Rh  0.250  0.250  0.250 [8 per cell]


no.,electronic total energy (eV per cell)
1,-31.6
2,-49.9
3,-34.8
4,-79.1
5,-24.5
6,-32.9
7,-38.9
8,-30.2
9,-73.6
10,-42.4
11,-15.8
12,-7.6
13,-41.5
14,-54.5
15,-75.5
16,-48.6
17,-111.6
18,-105.0
19,-110.0
20,-127.1